[1]
A plane-wave DFT calculation with meta-GGA SCAN was carried out for a crystal of FeSb2Br relaxed with PBEsol.

Results
Energy above the most stable polymorph in this dataset = 0.160 eV per atom

Cell: 3.493 3.493 7.409 Å, 90.00 90.00 90.00°
Last column: magnetic moment on the atom in μB.
Fractional positions:
Sb  0.500  0.500  0.202  -0.04
Sb  0.000  0.000  0.946  -0.01
Fe  0.500  0.500  0.811  2.96
Br  0.000  0.000  0.541  0.05

***

[2]
A plane-wave DFT calculation with meta-GGA SCAN was carried out for a crystal of Fe2SbBr2 relaxed with PBEsol.

Cell: 4.366 4.366 6.059 Å, 111.12 111.12 90.00°
Last column: magnetic moment on the atom in μB.
Fractional positions:
Fe  0.607  0.607  0.214  3.22
Fe  0.393  0.393  0.786  3.22
Br  0.250  0.750  0.500  0.09
Br  0.750  0.250  0.500  0.09
Sb  0.000  0.000  0.000  -0.20

***

[3]
A plane-wave DFT calculation with meta-GGA SCAN was carried out for a crystal of FeSbBr2 relaxed with PBEsol.

Results
Energy above the most stable polymorph in this dataset = 0.000 eV per atom

Cell: 3.394 5.497 5.492 Å, 106.83 90.00 90.00°
Last column: magnetic moment on the atom in μB.
Fractional positions:
Fe  0.000  0.993  0.426  2.98
Sb  0.500  0.325  0.699  -0.17
Br  0.000  0.026  0.005  0.06
Br  0.500  0.657  0.369  0.05

***

[4]
A plane-wave DFT calculation with meta-GGA SCAN was carried out for a crystal of FeSb2Br relaxed with PBEsol.

Results
Energy above the most stable polymorph in this dataset = 0.000 eV per atom

Cell: 3.195 4.743 7.149 Å, 109.37 102.91 90.00°
Last column: magnetic moment on the atom in μB.
Fractional positions:
Sb  0.773  0.273  0.545  0.02
Sb  0.907  0.907  0.813  -0.02
Br  0.588  0.588  0.176  0.11
Fe  0.233  0.733  0.466  3.06

***

[5]
A plane-wave DFT calculation with meta-GGA SCAN was carried out for a crystal of FeSb2Br relaxed with PBEsol.

Results
Energy above the most stable polymorph in this dataset = 0.136 eV per atom

Cell: 3.205 4.963 6.428 Å, 112.71 104.44 90.00°
Last column: magnetic moment on the atom in μB.
Fractional positions:
Sb  0.685  0.685  0.370  -0.03
Sb  0.315  0.315  0.630  -0.03
Br  0.500  0.000  0.000  0.09
Fe  0.000  0.500  0.000  2.81

***

[6]
A plane-wave DFT calculation with meta-GGA SCAN was carried out for a crystal of Fe4SbBr relaxed with PBEsol.

Cell: 5.004 5.004 5.004 Å, 60.00 60.00 60.00°
Last column: magnetic moment on the atom in μB.
Fractional positions:
Fe  0.376  0.376  0.376  2.90
Fe  0.376  0.376  0.873  2.90
Fe  0.873  0.376  0.376  2.90
Fe  0.376  0.873  0.376  2.90
Sb  0.750  0.750  0.750  -0.04
Br  0.000  0.000  0.000  0.21

***

[7]
A plane-wave DFT calculation with meta-GGA SCAN was carried out for a crystal of FeSbBr2 relaxed with PBEsol.

Results
Energy above the most stable polymorph in this dataset = 0.209 eV per atom

Cell: 3.150 3.150 9.630 Å, 90.00 90.00 90.00°
Last column: magnetic moment on the atom in μB.
Fractional positions:
Sb  0.500  0.500  0.500  -0.10
Br  0.000  0.000  0.835  0.15
Br  0.000  0.000  0.165  0.15
Fe  0.500  0.500  0.000  3.45

***

[8]
A plane-wave DFT calculation with meta-GGA SCAN was carried out for a crystal of Sc2FeBr relaxed with PBEsol.

Results
Energy above the most stable polymorph in this dataset = 0.127 eV per atom

Cell: 4.391 4.826 4.391 Å, 62.94 90.00 117.06°
Last column: magnetic moment on the atom in μB.
Fractional positions:
Br  0.500  0.000  0.500  0.03
Sc  0.750  0.500  0.750  -0.50
Sc  0.250  0.500  0.250  -0.50
Fe  0.000  0.000  0.000  2.24

***

Spin magnetization per entry: 2.953; 6.218; 2.870; 3.224; 2.842; 11.796; 3.550; 0.815 μB/cell
Formation energy without anion corrections per entry: 258; 455; -137; 99; 235; 473; 72; -54 meV per atom